A plane-wave DFT calculation with GGA-PBE was carried out for a relaxed NpMoIr2 crystal.

Results
Symmetry: P4/mmm (123)
Calculated total energy: -10.6034 eV per atom

a = 4.015 Å, b = 4.015 Å, c = 4.091 Å
α = 90.00°, β = 90.00°, γ = 90.00°
Sites, in units of the cell vectors:
1 Np 0.000 0.000 0.000
2 Mo 0.500 0.500 0.000
3 Ir 0.000 0.500 0.500
4 Ir 0.500 0.000 0.500